Entry 1:
VASP calculation (PBE+U) on a geometry-optimized LiCoPHO5 structure.

Computed properties:
Crystal system = triclinic
Total DFT energy (no corrections) = -6.223 eV/atom

```
data_LiCoPHO5
_cell_length_a 5.1419
_cell_length_b 5.4014
_cell_length_c 7.2065
_cell_angle_alpha 105.44
_cell_angle_beta 109.59
_cell_angle_gamma 99.43
_space_group_name_H-M_alt 'P -1'
_space_group_IT_number 2
loop_
_space_group_symop_operation_xyz
'x,y,z'
'-x,-y,-z'
loop_
_atom_site_label
_atom_site_type_symbol
_atom_site_fract_x
_atom_site_fract_y
_atom_site_fract_z
Li1 Li 0.2490 0.3933 0.3255
Co1 Co 0.5000 0.0000 0.0000
Co2 Co 0.5000 0.0000 0.5000
P1 P 0.1749 0.3596 0.7334
H1 H 0.1468 0.9332 0.1620
O1 O 0.1409 0.7515 0.4343
O2 O 0.1934 0.6553 0.8468
O3 O 0.2210 0.2004 0.8862
O4 O 0.3500 0.0462 0.2323
O5 O 0.3823 0.3455 0.6200
```

Entry 2:
VASP calculation (PBE+U) on a geometry-optimized Li2CoPHO5 structure.

Computed properties:
Crystal system = triclinic
Total DFT energy (no corrections) = -6.127 eV/atom

```
data_Li2CoPHO5
_cell_length_a 5.3322
_cell_length_b 5.5172
_cell_length_c 7.5654
_cell_angle_alpha 108.54
_cell_angle_beta 109.56
_cell_angle_gamma 94.95
_space_group_name_H-M_alt 'P -1'
_space_group_IT_number 2
loop_
_space_group_symop_operation_xyz
'x,y,z'
'-x,-y,-z'
loop_
_atom_site_label
_atom_site_type_symbol
_atom_site_fract_x
_atom_site_fract_y
_atom_site_fract_z
Li1 Li 0.0148 0.1423 0.3415
Li2 Li 0.2679 0.3902 0.1918
Co1 Co 0.5000 0.0000 0.0000
Co2 Co 0.5000 0.0000 0.5000
P1 P 0.1691 0.3713 0.7409
H1 H 0.1811 0.9089 0.1367
O1 O 0.1126 0.7761 0.4307
O2 O 0.1525 0.6628 0.8351
O3 O 0.2237 0.2385 0.9005
O4 O 0.3343 0.0585 0.2247
O5 O 0.3880 0.3500 0.6476
```

Entry 3:
VASP calculation (PBE+U) on a geometry-optimized LiCo2P4H3O16 structure.

Computed properties:
Crystal system = triclinic
Total DFT energy (no corrections) = -6.331 eV/atom

```
data_LiCo2P4H3O16
_cell_length_a 4.9601
_cell_length_b 7.5745
_cell_length_c 8.2170
_cell_angle_alpha 89.97
_cell_angle_beta 87.88
_cell_angle_gamma 77.86
_space_group_name_H-M_alt 'P 1'
_space_group_IT_number 1
loop_
_space_group_symop_operation_xyz
'x,y,z'
loop_
_atom_site_label
_atom_site_type_symbol
_atom_site_fract_x
_atom_site_fract_y
_atom_site_fract_z
Li1 Li 0.0000 0.0000 0.0000
Co1 Co 0.0957 0.8620 0.6181
Co2 Co 0.6071 0.3586 0.1293
P1 P 0.0057 0.6070 0.9680
P2 P 0.2051 0.1066 0.2865
P3 P 0.4959 0.0988 0.7908
P4 P 0.6979 0.6137 0.4616
H1 H 0.2661 0.2304 0.5951
H2 H 0.5435 0.8843 0.1656
H3 H 0.9301 0.5006 0.6640
O1 O 0.0348 0.6500 0.7846
O2 O 0.1694 0.0643 0.4674
O3 O 0.2899 0.9720 0.8093
O4 O 0.2930 0.5416 0.0379
O5 O 0.3423 0.9304 0.1859
O6 O 0.3608 0.2694 0.6898
O7 O 0.3736 0.2559 0.2722
O8 O 0.4216 0.7027 0.5502
O9 O 0.5859 0.1608 0.9530
O10 O 0.6493 0.5420 0.2962
O11 O 0.7609 0.9995 0.6961
O12 O 0.8474 0.4509 0.9818
O13 O 0.8496 0.4525 0.5673
O14 O 0.8600 0.7817 0.0555
O15 O 0.8703 0.7624 0.4488
O16 O 0.9317 0.1635 0.1991
```

Entry 4:
VASP calculation (PBE+U) on a geometry-optimized LiCo2P4H3O14 structure.

Computed properties:
Crystal system = monoclinic
Total DFT energy (no corrections) = -6.574 eV/atom

```
data_LiCo2P4H3O14
_cell_length_a 11.0986
_cell_length_b 12.9884
_cell_length_c 9.0346
_cell_angle_alpha 90.00
_cell_angle_beta 123.12
_cell_angle_gamma 90.00
_space_group_name_H-M_alt 'C 1 c 1'
_space_group_IT_number 9
loop_
_space_group_symop_operation_xyz
'x,y,z'
'x,-y,z+1/2'
'x+1/2,y+1/2,z'
'x+1/2,-y+1/2,z+1/2'
loop_
_atom_site_label
_atom_site_type_symbol
_atom_site_fract_x
_atom_site_fract_y
_atom_site_fract_z
Li1 Li 0.0000 0.1428 0.0000
Co1 Co 0.0067 0.0916 0.5105
Co2 Co 0.2548 0.2511 0.7609
P1 P 0.0769 0.2854 0.3305
P2 P 0.2316 0.0448 0.9473
P3 P 0.2802 0.4567 0.5707
P4 P 0.4347 0.2162 0.1912
H1 H 0.1620 0.3940 0.9534
H2 H 0.2344 0.2481 0.2515
H3 H 0.3461 0.1051 0.5578
O1 O 0.0952 0.3116 0.7971
O2 O 0.1042 0.0299 0.9651
O3 O 0.1220 0.2158 0.4890
O4 O 0.1244 0.2396 0.2088
O5 O 0.1636 0.3909 0.3997
O6 O 0.1922 0.1031 0.7795
O7 O 0.1997 0.4430 0.0587
O8 O 0.3081 0.0570 0.4531
O9 O 0.3185 0.3983 0.7377
O10 O 0.3503 0.1081 0.1164
O11 O 0.3842 0.2607 0.3047
O12 O 0.3940 0.2835 0.0296
O13 O 0.4074 0.4707 0.5529
O14 O 0.4171 0.1908 0.7197
```

Entry 5:
VASP calculation (PBE+U) on a geometry-optimized Li2CoH12S2O14 structure.

Computed properties:
Crystal system = monoclinic
Total DFT energy (no corrections) = -5.373 eV/atom

```
data_Li2CoH12S2O14
_cell_length_a 5.7668
_cell_length_b 13.1986
_cell_length_c 8.0945
_cell_angle_alpha 90.00
_cell_angle_beta 100.52
_cell_angle_gamma 90.00
_space_group_name_H-M_alt 'P 1 21/c 1'
_space_group_IT_number 14
loop_
_space_group_symop_operation_xyz
'x,y,z'
'-x,-y,-z'
'-x,y+1/2,-z+1/2'
'x,-y+1/2,z+1/2'
loop_
_atom_site_label
_atom_site_type_symbol
_atom_site_fract_x
_atom_site_fract_y
_atom_site_fract_z
Li1 Li 0.0681 0.0807 0.2735
Co1 Co 0.5000 0.0000 0.0000
H1 H 0.1296 0.5743 0.5868
H2 H 0.1590 0.6548 0.4500
H3 H 0.1864 0.0921 0.7731
H4 H 0.3842 0.1757 0.1332
H5 H 0.4380 0.1260 0.7328
H6 H 0.4675 0.6105 0.2228
S1 S 0.1998 0.6500 0.9273
O1 O 0.0432 0.7393 0.8914
O2 O 0.1075 0.5687 0.7998
O3 O 0.1707 0.5792 0.4729
O4 O 0.1933 0.6096 0.0990
O5 O 0.3563 0.0986 0.8228
O6 O 0.3867 0.1089 0.1874
O7 O 0.4465 0.6758 0.9152
```

- Which value of total DFT energy (no corrections) does entry 2 give?
  -6.127 eV/atom

- Look up the total DFT energy (no corrections) of the second one.
  -6.127 eV/atom

- Which of these has the lowest total DFT energy (no corrections)?
  LiCo2P4H3O14

Please write out number 1 again, unchanged.
VASP calculation (PBE+U) on a geometry-optimized LiCoPHO5 structure.

Computed properties:
Crystal system = triclinic
Total DFT energy (no corrections) = -6.223 eV/atom

```
data_LiCoPHO5
_cell_length_a 5.1419
_cell_length_b 5.4014
_cell_length_c 7.2065
_cell_angle_alpha 105.44
_cell_angle_beta 109.59
_cell_angle_gamma 99.43
_space_group_name_H-M_alt 'P -1'
_space_group_IT_number 2
loop_
_space_group_symop_operation_xyz
'x,y,z'
'-x,-y,-z'
loop_
_atom_site_label
_atom_site_type_symbol
_atom_site_fract_x
_atom_site_fract_y
_atom_site_fract_z
Li1 Li 0.2490 0.3933 0.3255
Co1 Co 0.5000 0.0000 0.0000
Co2 Co 0.5000 0.0000 0.5000
P1 P 0.1749 0.3596 0.7334
H1 H 0.1468 0.9332 0.1620
O1 O 0.1409 0.7515 0.4343
O2 O 0.1934 0.6553 0.8468
O3 O 0.2210 0.2004 0.8862
O4 O 0.3500 0.0462 0.2323
O5 O 0.3823 0.3455 0.6200
```